# 1
The following is a DFT calculation (PBE) of a relaxed RbTl2VI6 crystal.

```
RbTl2VI6
1.0
-1.617 1.720 8.137
0.162 -6.215 5.756
6.659 -0.243 5.784
I Tl Rb V
6 2 1 1
Cartesian
4.204 0.117 10.763 I
1.330 -5.846 8.971 I
0.711 -0.577 7.069 I
4.705 -3.628 11.735 I
5.108 -2.505 8.021 I
0.022 -1.694 12.549 I
2.036 -2.469 9.748 Tl
6.434 -0.283 5.747 Tl
2.432 -3.812 14.521 Rb
-0.369 -1.478 4.650 V
```

## Properties
Spin magnetization   2.00 μB per cell
Formation energy (no corrections)   -0.702 eV per atom
Calculated density   4.8 g/cm³
V   456.6 Å³/cell

***

# 2
The following is a DFT calculation (PBE) of a relaxed Rb3Tl3VI8 crystal.

```
Rb3Tl3VI8
1.0
-8.245 3.882 4.680
-1.126 -5.918 -8.288
3.100 -3.900 8.698
Tl Rb I V
3 3 8 1
Cartesian
0.000 0.000 0.000 Tl
-4.686 -1.018 -1.804 Tl
-0.563 -2.959 -4.144 Tl
-2.573 -0.009 6.689 Rb
0.987 -4.909 0.205 Rb
-3.135 -2.968 2.545 Rb
-4.426 -3.043 5.941 I
-6.340 -1.549 1.328 I
0.519 -2.023 7.070 I
-1.836 -6.246 -4.792 I
-4.435 0.310 9.881 I
0.069 -4.387 3.761 I
-1.845 -2.892 -0.851 I
-6.790 -3.913 -1.980 I
1.550 -1.950 4.349 V
```

## Properties
Spin magnetization   3.00 μB per cell
Formation energy (no corrections)   -0.927 eV per atom
Calculated density   4.4 g/cm³
V   735.6 Å³/cell

***

# 3
The following is a DFT calculation (PBE) of a relaxed RbTlVI6 crystal.

```
RbTlVI6
1.0
-1.892 -1.723 7.680
5.838 -1.848 5.298
0.673 7.342 1.814
I V Tl Rb
6 1 1 1
Cartesian
0.155 4.534 4.189 I
3.090 0.418 6.340 I
-0.636 0.981 5.473 I
3.916 4.003 4.916 I
1.318 3.548 7.743 I
2.069 1.404 2.742 I
1.652 2.481 5.234 V
2.967 1.289 9.556 Tl
0.672 7.338 1.814 Rb
```

## Properties
Spin magnetization   0.95 μB per cell
Formation energy (no corrections)   -0.641 eV per atom
Calculated density   4.2 g/cm³
V   430.8 Å³/cell

***

# 4
The following is a DFT calculation (PBE) of a relaxed RbTlV2I8 crystal.

```
RbTlV2I8
1.0
8.006 0.000 0.000
4.003 6.934 0.000
4.003 2.311 10.391
I V Tl Rb
8 2 1 1
Cartesian
8.722 2.359 8.264 I
12.010 6.934 4.871 I
7.291 6.886 2.127 I
4.003 2.311 5.521 I
6.404 2.871 2.127 I
5.689 5.135 8.264 I
10.324 4.110 2.127 I
9.609 6.374 8.264 I
12.010 6.934 7.429 V
4.003 2.311 2.963 V
8.006 4.622 5.196 Tl
0.000 0.000 0.000 Rb
```

## Properties
Spin magnetization   4.00 μB per cell
Formation energy (no corrections)   -0.597 eV per atom
Calculated density   4.0 g/cm³
V   576.9 Å³/cell

***

# 5
The following is a DFT calculation (PBE) of a relaxed Rb2TlVI6 crystal.

```
Rb2TlVI6
1.0
8.811 0.001 0.002
4.406 7.627 0.004
4.407 2.545 6.662
I V Rb Tl
6 1 2 1
Cartesian
9.525 2.906 5.408 I
6.568 5.558 5.406 I
10.343 6.792 5.402 I
6.649 2.072 1.948 I
3.696 4.724 1.945 I
2.875 0.840 1.951 I
4.405 2.542 0.345 V
4.406 2.544 5.117 Rb
8.815 5.087 2.232 Rb
13.216 7.629 3.680 Tl
```

## Properties
Spin magnetization   2.00 μB per cell
Formation energy (no corrections)   -0.879 eV per atom
Calculated density   4.4 g/cm³
V   447.5 Å³/cell

***

# 6
The following is a DFT calculation (PBE) of a relaxed RbTl2WI8 crystal.

```
RbTl2WI8
1.0
6.862 -1.831 0.007
-2.068 8.435 0.004
-0.019 0.006 10.195
I Tl Rb W
8 2 1 1
Cartesian
-1.441 6.562 1.935 I
6.217 0.048 8.272 I
1.347 5.245 5.116 I
-1.429 6.574 8.274 I
2.567 0.894 0.020 I
2.209 5.716 10.187 I
3.429 1.365 5.090 I
6.205 0.036 1.933 I
2.375 3.314 2.691 Tl
2.401 3.296 7.516 Tl
-0.009 0.003 5.098 Rb
0.000 0.000 0.000 W
```

## Properties
Spin magnetization   0.98 μB per cell
Formation energy (no corrections)   -0.466 eV per atom
Calculated density   5.1 g/cm³
V   551.6 Å³/cell

***

# 7
The following is a DFT calculation (PBE) of a relaxed Rb2YTlI6 crystal.

```
Rb2YTlI6
1.0
8.887 0.002 0.002
4.446 7.696 0.000
4.445 2.566 7.399
Rb I Y Tl
2 6 1 1
Cartesian
8.889 5.131 2.863 Rb
4.446 2.567 6.777 Rb
7.240 8.338 1.925 I
10.417 7.054 5.800 I
9.793 2.847 5.800 I
12.490 4.959 1.926 I
6.460 5.493 5.800 I
6.934 2.101 1.926 I
4.444 2.566 0.234 Y
13.333 7.698 4.066 Tl
```

## Properties
Spin magnetization   0.00 μB per cell
Formation energy (no corrections)   -1.299 eV per atom
Calculated density   4.0 g/cm³
V   505.9 Å³/cell

***

# 8
The following is a DFT calculation (PBE) of a relaxed RbTlZnI4 crystal.

```
RbTlZnI4
1.0
-6.948 2.986 2.950
-3.614 -7.104 -1.321
5.077 -4.000 7.624
Rb I Tl Zn
2 8 2 2
Cartesian
0.351 -3.319 4.533 Rb
-5.836 -4.800 4.719 Rb
-4.991 -4.573 1.184 I
-0.495 -3.546 8.068 I
-6.601 -7.210 7.544 I
-2.987 -1.677 4.838 I
1.116 -0.909 1.708 I
-2.498 -6.441 4.414 I
-0.672 -4.425 1.054 I
-4.813 -3.694 8.198 I
-3.128 -6.859 8.380 Tl
-2.357 -1.260 0.872 Tl
-2.692 -2.298 7.370 Zn
-2.793 -5.820 1.882 Zn
```

## Properties
Spin magnetization   0.00 μB per cell
Formation energy (no corrections)   -0.877 eV per atom
Calculated density   4.6 g/cm³
V   624.3 Å³/cell

***

| no. | electronic total energy (eV/cell) |
| --- | --- |
| 1 | -31.144 |
| 2 | -45.420 |
| 3 | -27.526 |
| 4 | -41.130 |
| 5 | -31.514 |
| 6 | -36.647 |
| 7 | -33.057 |
| 8 | -33.900 |